GaFe2 PBE relaxed; DOS at the Fermi energy = 0.6539 states/eV/atom; symmetry = Cmcm; formation energy = -0.091 eV/atom; VASP energy = -6.742 eV/atom
1.0
4.096 0.000 -0.001
0.000 4.120 0.637
-2.049 -0.669 4.328
Ga Fe
2 4
Direct
0.091 0.250 0.183
0.909 0.750 0.817
0.410 0.250 0.820
0.252 0.750 0.502
0.590 0.750 0.180
0.748 0.250 0.498